A:
Mg2ScC2: relaxed, PBE-GGA.

Values from the calculation:
- V (Å³/f.u.) = 64.4
- N(E_F) (states/eV/atom) = 0.502

Cell: 6.6002 6.6002 2.9589 Å, 90.00 90.00 90.00°
With the nearest neighbours (Å) after each atom.
Space group P4/mbm (No. 127)
Unique sites:
Mg (0.1374, 0.3626, 0.0000) [4 per cell]  6 C 2.31-2.54, 1 Mg 2.56
Sc (0.0000, 0.0000, 0.5000) [2 per cell]  4 C 2.44
C (0.1726, 0.6726, 0.5000) [4 per cell]  6 Mg 2.31-2.54, 2 Sc 2.44

=====

B:
Mg2ScC2: relaxed, PBE-GGA.

Values from the calculation:
- V (Å³/f.u.) = 66.9
- N(E_F) (states/eV/atom) = 0.456

Cell: 3.6320 3.6320 10.1421 Å, 90.00 90.00 90.00°
With the nearest neighbours (Å) after each atom.
Space group I4/mmm (No. 139)
Unique sites:
Mg (0.0000, 0.5000, 0.2500) [4 per cell]  4 Mg 2.57, 4 C 2.59
Sc (0.0000, 0.0000, 0.0000) [2 per cell]  8 C 2.66
C (0.0000, 0.0000, 0.4315) [4 per cell]  1 C 1.39

=====

Result of the stability comparison: B is the most stable of them.

=====

A:
Mg3CSe: relaxed, PBE-GGA.

Values from the calculation:
- V (Å³/f.u.) = 115.4
- N(E_F) (states/eV/atom) = 0.163

Cell: 4.8683 4.8683 4.8683 Å, 90.00 90.00 90.00°
With the nearest neighbours (Å) after each atom.
Space group Pm-3m (No. 221)
Unique sites:
Mg (0.0000, 0.0000, 0.5000) [3 per cell]  2 Se 2.43
C (0.5000, 0.5000, 0.5000) [1 per cell]  12 Mg 3.44
Se (0.0000, 0.0000, 0.0000) [1 per cell]  6 Mg 2.43

=====

B:
Mg3CSe: relaxed, PBE-GGA.

Values from the calculation:
- V (Å³/f.u.) = 84.1
- N(E_F) (states/eV/atom) = 0.000

Cell: 4.3805 4.3805 4.3805 Å, 90.00 90.00 90.00°
With the nearest neighbours (Å) after each atom.
Space group Pm-3m (No. 221)
Unique sites:
Mg (0.0000, 0.0000, 0.5000) [3 per cell]  2 C 2.19
C (0.0000, 0.0000, 0.0000) [1 per cell]  6 Mg 2.19
Se (0.5000, 0.5000, 0.5000) [1 per cell]  12 Mg 3.10

=====

Result of the stability comparison: B is the most stable of them.

=====

A:
MgSiC2: relaxed, PBE-GGA.

Values from the calculation:
- V (Å³/f.u.) = 50.7
- N(E_F) (states/eV/atom) = 0.299

Cell: 4.4162 4.4162 10.4034 Å, 90.00 90.00 90.00°
With the nearest neighbours (Å) after each atom.
Space group I-42d (No. 122)
Unique sites:
Mg (0.0000, 0.0000, 0.0000) [4 per cell]  4 C 2.29
Si (0.0000, 0.0000, 0.5000) [4 per cell]  4 C 1.84
C (0.1548, 0.2500, 0.6250) [8 per cell]  2 Si 1.84

=====

B:
MgSiC2: relaxed, PBE-GGA.

Values from the calculation:
- V (Å³/f.u.) = 40.1
- N(E_F) (states/eV/atom) = 0.350

Cell: 5.4325 5.4325 5.4325 Å, 90.00 90.00 90.00°
With the nearest neighbours (Å) after each atom.
Space group Fm-3m (No. 225)
Unique sites:
Mg (0.0000, 0.0000, 0.0000) [4 per cell]  8 C 2.35
Si (0.0000, 0.0000, 0.5000) [4 per cell]  8 C 2.35
C (0.2500, 0.2500, 0.2500) [8 per cell]  4 Mg 2.35, 4 Si 2.35

=====

Result of the stability comparison: A is the most stable of them.